5
Lattice="-2.7897 2.7897 2.7897 2.7897 -2.7897 2.7897 2.7897 2.7897 -2.7897" Properties=species:S:1:pos:R:3 comment="Mo4P (GGA-PBE, optimized geometry)" de_polymorph_mev_per_atom=39 formation_energy_ev_per_atom=0.716 crystal_system=cubic pbc="T T T"
Mo 1.3948 1.3948 -1.3948
Mo 1.3948 -1.3948 1.3948
Mo -1.3948 1.3948 1.3948
Mo 1.3948 1.3948 1.3948
P 0.0000 0.0000 0.0000